Entry 1:
DFT (GGA-PBE) results for a relaxed La2SnC crystal.

Properties
- volume (Å³ per cell) = 113.4
- D(E_F) (states/eV/atom) = 0.8022
- density (g/cm³) = 6.0
- ΔE_f (eV per atom) = -0.081

a = 3.6710 Å, b = 3.6710 Å, c = 9.9426 Å
α = 79.36°, β = 79.36°, γ = 60.00°
With the nearest neighbours (Å) after each atom.
Fractional coordinates of all 4 atoms:
La1 0.1164 0.1164 0.6509  3 C 2.58
Sn1 0.0000 0.0000 0.0000  2 La 3.39, 6 Sn 3.67
C1 0.5000 0.5000 0.5000  6 La 2.58
La2 0.8836 0.8836 0.3491  3 C 2.58

Entry 2:
DFT (GGA-PBE) results for a relaxed La9Sn3C2 crystal.

Properties
- volume (Å³ per cell) = 410.0
- D(E_F) (states/eV/atom) = 0.7875
- density (g/cm³) = 6.6
- ΔE_f (eV per atom) = -0.499

a = 7.2859 Å, b = 7.2859 Å, c = 8.9179 Å
α = 90.00°, β = 90.00°, γ = 120.00°
With the nearest neighbours (Å) after each atom.
Fractional coordinates of all 14 atoms:
La1 0.0000 0.5000 0.0000  2 C 2.65
Sn1 0.3333 0.6667 0.3334  12 La 3.63-3.64
La2 0.3391 0.1696 0.3314  1 C 2.47
La3 0.5000 0.0000 0.0000  2 C 2.65
Sn2 0.0000 0.0000 0.0000  12 La 3.64-3.65
La4 0.1696 0.8304 0.6686  1 C 2.47
C1 0.3333 0.6667 0.8199  6 La 2.47-2.65
C2 0.6667 0.3333 0.1801  6 La 2.47-2.65
La5 0.1696 0.3391 0.6686  1 C 2.47
La6 0.5000 0.5000 0.0000  2 C 2.65
La7 0.8304 0.1696 0.3314  1 C 2.47
Sn3 0.6667 0.3333 0.6666  12 La 3.63-3.64
La8 0.8304 0.6609 0.3314  1 C 2.47
La9 0.6609 0.8304 0.6686  1 C 2.47

Entry 3:
DFT (GGA-PBE) results for a relaxed La2SnC2 crystal.

Properties
- volume (Å³ per cell) = 117.2
- D(E_F) (states/eV/atom) = 0.7357
- density (g/cm³) = 6.0
- ΔE_f (eV per atom) = 0.490

a = 4.4566 Å, b = 4.4566 Å, c = 6.6904 Å
α = 70.55°, β = 70.55°, γ = 90.00°
With the nearest neighbours (Å) after each atom.
Fractional coordinates of all 5 atoms:
La1 0.6579 0.6579 0.6843  4 C 2.48
Sn1 0.0000 0.0000 0.0000  10 La 3.66-4.04, 8 C 3.70
C1 0.2500 0.7500 0.5000  4 La 2.48
C2 0.7500 0.2500 0.5000  4 La 2.48
La2 0.3422 0.3422 0.3157  4 C 2.48

Entry 4:
DFT (GGA-PBE) results for a relaxed SrLa2SnC crystal.

Properties
- volume (Å³ per cell) = 145.2
- D(E_F) (states/eV/atom) = 0.1760
- density (g/cm³) = 5.7
- ΔE_f (eV per atom) = -0.381

a = 5.2023 Å, b = 5.2023 Å, c = 5.3639 Å
α = 90.00°, β = 90.00°, γ = 90.00°
With the nearest neighbours (Å) after each atom.
Fractional coordinates of all 5 atoms:
La1 0.5000 0.0000 0.0000  2 C 2.60
C1 0.0000 0.0000 0.0000  4 La 2.60, 2 Sr 2.68
La2 0.0000 0.5000 0.0000  2 C 2.60
Sr1 0.0000 0.0000 0.5000  2 C 2.68
Sn1 0.5000 0.5000 0.5000  4 Sr 3.68, 8 La 3.74

> ΔE_f of number 3 (La2SnC2)?

0.490 eV per atom

> D(E_F) of number 3 (La2SnC2)?

0.7357 states/eV/atom

> Which of these has the lowest ΔE_f?

La9Sn3C2

> Which formula does entry 1 have?

La2SnC